BeGa2SnHg | Alexandria via LeMat-Bulk | PBE | relaxed; SG = P4/mmm (123); E_tot = -2.5935 eV per atom; ΔH_f (0 K) = 1.117 eV/f.u.; density of states at the Fermi level = 1.84 states/eV/cell
1.0
-3.6254 1.4675 -2.2513
-2.7294 0.2467 4.5561
1.3620 4.2624 0.5851
Be Hg Ga Sn
1 1 2 1
Cartesian
0.0000 0.0000 0.0000 Be
-2.4964 2.9883 1.4449 Hg
0.6810 2.1312 0.2926 Ga
-1.8127 0.7337 -1.1257 Ga
-1.3647 0.1233 2.2780 Sn


BeTlGa2Hg | Alexandria via LeMat-Bulk | PBE | relaxed; SG = P4/mmm (123); E_tot = -1.8042 eV per atom; ΔH_f (0 K) = 3.427 eV/f.u.; density of states at the Fermi level = 2.41 states/eV/cell
1.0
5.5660 0.0000 0.0000
0.0000 4.5807 0.0000
0.0000 0.0000 5.5660
Be Tl Hg Ga
1 1 1 2
Cartesian
0.0000 2.2903 0.0000 Be
0.0000 0.0000 0.0000 Tl
2.7830 2.2903 2.7830 Hg
0.0000 0.0000 2.7830 Ga
2.7830 0.0000 0.0000 Ga


Be2GaHgW | Alexandria via LeMat-Bulk | PBE | relaxed; SG = P4/mmm (123); E_tot = -3.3553 eV per atom; ΔH_f (0 K) = 6.958 eV/f.u.; density of states at the Fermi level = 5.55 states/eV/cell
1.0
4.5107 0.0000 0.0000
0.0000 4.5107 0.0000
0.0000 0.0000 5.3042
Be Ga Hg W
2 1 1 1
Cartesian
0.0000 2.2554 0.0000 Be
2.2554 0.0000 0.0000 Be
2.2554 2.2554 2.6521 Ga
0.0000 0.0000 2.6521 Hg
0.0000 0.0000 0.0000 W


Ho2BeGa8 | Alexandria via LeMat-Bulk | PBE | relaxed; SG = P4/mmm (123); E_tot = -3.7251 eV per atom; ΔH_f (0 K) = -3.879 eV/f.u.; density of states at the Fermi level = 2.42 states/eV/cell
1.0
-3.5724 -1.1769 -2.0986
2.0099 -3.5248 -1.4447
-3.3514 -5.5175 8.7994
Ho Be Ga
2 1 8
Cartesian
-1.0224 -1.6832 2.6843 Ho
-2.3290 -3.8343 6.1150 Ho
0.0000 0.0000 0.0000 Be
-0.6708 -4.5212 3.6774 Ga
-3.4619 -3.3472 3.3504 Ga
-1.7894 -4.0106 0.8753 Ga
-3.1245 -6.2086 4.3808 Ga
0.6070 -2.4175 0.3224 Ga
-2.1841 -1.2435 -0.0045 Ga
-1.9486 -6.6248 7.0323 Ga
-4.7397 -5.4508 6.7053 Ga


HoBe2Ga2 | Alexandria via LeMat-Bulk | PBE | relaxed; SG = P4/nmm (129); E_tot = -3.9884 eV per atom; ΔH_f (0 K) = -1.858 eV/f.u.; density of states at the Fermi level = 1.81 states/eV/cell
1.0
3.9318 0.0000 0.0000
0.0000 3.9318 0.0000
0.0000 0.0000 9.8268
Ho Be Ga
2 4 4
Cartesian
1.9659 0.0000 2.4082 Ho
0.0000 1.9659 7.4186 Ho
0.0000 1.9659 3.5420 Be
1.9659 0.0000 6.2847 Be
1.9659 1.9659 0.0000 Be
0.0000 0.0000 0.0000 Be
1.9659 1.9659 4.9134 Ga
0.0000 0.0000 4.9134 Ga
0.0000 1.9659 1.2768 Ga
1.9659 0.0000 8.5500 Ga


Ho3Be2Ga4 | Alexandria via LeMat-Bulk | PBE | relaxed; SG = C2/m (12); E_tot = -4.2011 eV per atom; ΔH_f (0 K) = -4.517 eV/f.u.; density of states at the Fermi level = 4.70 states/eV/cell
1.0
4.0522 0.0000 1.0809
1.6303 4.9543 2.0242
-0.0993 0.3235 8.5078
Ho Be Ga
3 2 4
Cartesian
2.3790 3.4243 7.3530 Ho
0.0000 0.0000 0.0000 Ho
3.2041 1.8534 4.2600 Ho
3.0534 4.8343 4.8249 Be
2.5297 0.4435 6.7880 Be
1.7337 1.8616 1.6365 Ga
3.8494 3.4162 9.9765 Ga
0.6243 1.4329 5.7953 Ga
4.9588 3.8448 5.8176 Ga